Compound: LaRuRh2
Source: Alexandria
Functional: GGA-PBE
Structure: optimized geometry

Summary:
The polymorph energy (0 for the lowest one) is 133 meV per atom. As for the theoretical density: 10117 kg/m3.

Lattice parameters (Å, degrees): 4.6948 4.6948 4.6948 60.00 60.00 60.00
Last column: magnetic moment on the atom in μB.
Atoms (fractional coordinates):
La  0.5000  0.5000  0.5000  -0.01
Ru  0.0000  0.0000  0.0000  1.67
Rh  0.7500  0.7500  0.7500  0.51
Rh  0.2500  0.2500  0.2500  0.51

Compound: MgTcP2
Source: Alexandria
Functional: GGA-PBE
Structure: optimized geometry

Summary:
As for the theoretical density: 4350 kg/m3. As for the energy: -23.98 eV/cell.

Lattice parameters (Å, degrees): 4.2163 4.2163 6.1046 72.99 72.99 43.06
Atoms (fractional coordinates):
Tc  0.4794  0.4794  0.3213
Mg  0.8136  0.8136  0.7641
P  0.1704  0.1704  0.4072
P  0.0366  0.0366  0.0075

Compound: Ca3Ni6As5
Source: Alexandria
Functional: GGA-PBE
Structure: optimized geometry

Summary:
As for the theoretical density: 6063 kg/m3. As for the energy: -146.54 eV/cell.

Lattice parameters (Å, degrees): 3.9498 9.7544 12.0425 90.00 90.00 90.00
Atoms (fractional coordinates):
Ni  0.0000  0.9856  0.5000
Ni  0.5000  0.9942  0.3295
Ni  0.0000  0.0058  0.1705
Ni  0.0000  0.6102  0.3142
Ni  0.5000  0.3898  0.8142
Ni  0.0000  0.4971  0.5000
Ni  0.0000  0.0058  0.8295
Ni  0.5000  0.5029  0.0000
Ni  0.0000  0.6102  0.6858
Ni  0.5000  0.0144  0.0000
Ni  0.5000  0.3898  0.1858
Ni  0.5000  0.9942  0.6705
Ca  0.5000  0.7480  0.8395
Ca  0.0000  0.2531  0.0000
Ca  0.5000  0.7480  0.1605
Ca  0.0000  0.2520  0.3395
Ca  0.5000  0.7469  0.5000
Ca  0.0000  0.2520  0.6605
As  0.5000  0.4859  0.6286
As  0.0000  0.5141  0.8714
As  0.5000  0.1433  0.8292
As  0.5000  0.4859  0.3714
As  0.5000  0.1183  0.5000
As  0.0000  0.8567  0.6708
As  0.0000  0.5141  0.1286
As  0.0000  0.8817  0.0000
As  0.5000  0.1433  0.1708
As  0.0000  0.8567  0.3292